Model 1:
Entry from the Alexandria database: a relaxed PuU2As4 crystal (PBE).

Values from the calculation:
Its size of the total moment is 1.154 μB/atom. The value obtained for the density of states at the Fermi level is 2.534 states/eV/atom.

POSCAR file:
```
PuU2As4
1.0
-3.3700 -1.6091 1.6344
4.4448 -6.2020 -2.0248
4.9910 0.1643 10.4529
Pu U As
2 4 8
Cartesian
2.2740 -1.2290 8.5625 Pu
3.7918 -6.4177 1.5000 Pu
3.1499 -1.7550 4.7669 U
5.2746 -5.8141 10.2355 U
0.7912 -1.8327 -0.1730 U
2.9160 -5.8917 5.2956 U
3.8405 -3.5804 9.4776 As
2.5762 -3.6220 6.8297 As
2.2253 -4.0663 0.5850 As
3.4896 -4.0247 3.2328 As
4.2869 -6.3392 7.6817 As
1.7789 -1.3075 2.3808 As
-1.6850 -0.8045 0.8172 As
0.8105 -0.7224 6.0437 As
```



Model 2:
Entry from the Alexandria database: a relaxed PuU2As4 crystal (PBE).

Values from the calculation:
Its size of the total moment is 1.143 μB/atom. The value obtained for the density of states at the Fermi level is 2.265 states/eV/atom.

POSCAR file:
```
PuU2As4
1.0
6.9434 0.0000 -2.4621
-3.4820 6.0111 -2.4524
0.0206 0.0000 7.3670
As U Pu
8 4 2
Cartesian
4.5724 1.4955 3.8808 As
4.6913 3.5455 1.4572 As
1.7122 4.5157 0.5455 As
-0.5298 2.4656 1.4739 As
2.9419 0.5399 0.2429 As
1.7018 4.5011 -3.1380 As
1.1007 1.5101 5.1118 As
-2.2624 5.4712 0.2357 As
-0.4371 5.2764 2.4697 U
2.1884 2.2708 2.4401 U
5.6601 0.7348 1.2090 U
-0.4474 3.7403 -1.2138 U
3.4717 3.0056 -1.2310 Pu
0.0000 0.0000 0.0000 Pu
```



Most stable one: model 2, least stable one: model 1.



Model 1:
Entry from the Alexandria database: a relaxed PuVAs2 crystal (PBE).

Values from the calculation:
Its size of the total moment is 1.387 μB/atom. The value obtained for the density of states at the Fermi level is 1.892 states/eV/atom.

POSCAR file:
```
PuVAs2
1.0
3.1931 0.0000 0.0000
0.0000 3.1931 0.0000
0.0000 0.0000 7.0549
As V Pu
2 1 1
Cartesian
0.0000 0.0000 5.6157 As
0.0000 0.0000 1.4392 As
1.5965 1.5965 0.0000 V
1.5965 1.5965 3.5275 Pu
```



Model 2:
Entry from the Alexandria database: a relaxed PuVAs2 crystal (PBE).

Values from the calculation:
Its size of the total moment is 1.497 μB/atom. The value obtained for the density of states at the Fermi level is 1.710 states/eV/atom.

POSCAR file:
```
PuVAs2
1.0
-2.5621 1.5574 -0.9345
-2.6193 -1.5754 -0.7215
-4.6146 0.6604 8.4751
As V Pu
2 1 1
Cartesian
-3.7048 0.4504 5.6309 As
-6.0912 0.1919 1.1882 As
-4.8980 0.3212 3.4095 V
0.0000 0.0000 0.0000 Pu
```



Most stable one: model 1, least stable one: model 2.



Model 1:
Entry from the Alexandria database: a relaxed YPuAs2 crystal (PBE).

Values from the calculation:
Its size of the total moment is 1.233 μB/atom. The value obtained for the density of states at the Fermi level is 2.548 states/eV/atom.

POSCAR file:
```
YPuAs2
1.0
-4.9572 2.9589 0.8310
-1.4594 -0.8783 -5.5784
0.4997 -5.9963 3.8626
Y Pu As
2 2 4
Cartesian
-3.2083 1.0403 -2.3737 Y
-2.0840 -2.9172 -2.0447 Y
-3.8329 -0.9985 1.1599 Pu
0.0000 0.0000 0.0000 Pu
-4.5751 -1.4606 -1.6224 As
-2.4911 1.4566 0.4224 As
-1.3418 -2.4551 0.7376 As
-5.1747 -3.4536 1.8975 As
```



Model 2:
Entry from the Alexandria database: a relaxed YPuAs2 crystal (PBE).

Values from the calculation:
Its size of the total moment is 1.248 μB/atom. The value obtained for the density of states at the Fermi level is 2.559 states/eV/atom.

POSCAR file:
```
YPuAs2
1.0
-2.6920 -2.8984 -1.1188
1.1871 -3.0648 -2.4692
1.2683 -5.7742 4.3549
Y Pu As
1 1 2
Cartesian
-0.1044 -5.8983 0.4269 Y
0.2512 -9.7200 1.9195 Pu
0.8368 -4.8510 3.0015 As
-0.0701 -2.9109 0.1574 As
```



Most stable one: model 1, least stable one: model 2.



Model 1:
Entry from the Alexandria database: a relaxed Pu3ZrAs4 crystal (PBE).

Values from the calculation:
Its size of the total moment is 0.675 μB/atom. The value obtained for the density of states at the Fermi level is 4.238 states/eV/atom.

POSCAR file:
```
Pu3ZrAs4
1.0
-0.5162 0.4721 -3.9838
3.1887 -0.1481 -2.4840
-0.8115 -13.3997 -3.5361
Pu Zr As
3 1 4
Cartesian
0.4786 -10.1235 -5.3683 Pu
0.9305 -6.5378 -5.0020 Pu
1.3824 -2.9521 -4.6356 Pu
0.0000 0.0000 0.0000 Zr
1.1603 -11.6754 -7.6939 As
-0.1842 -8.4222 -3.0275 As
0.7008 -1.4002 -2.3100 As
2.0452 -4.6534 -6.9764 As
```



Model 2:
Entry from the Alexandria database: a relaxed Pu3ZrAs4 crystal (PBE).

Values from the calculation:
Its size of the total moment is 0.636 μB/atom. The value obtained for the density of states at the Fermi level is 3.696 states/eV/atom.

POSCAR file:
```
Pu3ZrAs4
1.0
-4.2122 0.2265 5.6241
1.0198 -6.7032 -1.9186
6.4831 -0.4082 4.8720
As Zr Pu
8 2 6
Cartesian
0.1519 -1.6655 8.1996 As
3.8543 -1.8459 6.6380 As
0.5576 -1.6717 4.1097 As
-3.1908 -1.4217 5.7385 As
6.4814 -5.4632 2.8390 As
2.7331 -5.2131 4.4677 As
-0.5636 -5.0390 1.9395 As
3.1387 -5.2193 0.3778 As
2.5248 -0.1880 8.4895 Zr
-0.2539 0.0063 2.0066 Zr
-0.7375 0.0174 6.0379 Pu
3.0084 -0.1991 4.4582 Pu
1.4159 -3.4377 6.3137 Pu
-1.8510 -3.2320 3.8586 Pu
1.8747 -3.4472 2.2637 Pu
5.1417 -3.6529 4.7188 Pu
```



Most stable one: model 2, least stable one: model 1.